Below is a relaxed Ac3Bi2Sb2Pt4 crystal, with properties calculated at the PBE-GGA level.

Calculated values
Energy relative to the elements, uncorrected = -0.9060 eV per atom
DOS(E_F) = 4.7 states/eV/f.u.
M_tot = 0.00 μB/cell

a = 4.678 Å, b = 4.678 Å, c = 16.200 Å
α = 90.00°, β = 90.00°, γ = 120.00°
Atoms (fractional coordinates):
1 Ac 0.000 0.000 0.728
2 Ac 0.000 0.000 0.000
3 Ac 0.000 0.000 0.272
4 Bi 0.667 0.333 0.426
5 Bi 0.333 0.667 0.574
6 Sb 0.667 0.333 0.869
7 Sb 0.333 0.667 0.131
8 Pt 0.667 0.333 0.139
9 Pt 0.333 0.667 0.861
10 Pt 0.667 0.333 0.609
11 Pt 0.333 0.667 0.391